Record 1
Compound: SiO
Source: the Alexandria database
Functional: PBE
Structure: relaxed

Output
Uncorrected formation energy ... -1.698 eV per atom
Magnetic moment ... 0.000 μB per atom
DOS(E_F) ... 0.35 states/eV/cell

```
data_SiO
_space_group_name_H-M_alt 'P 64 2 2'
_space_group_IT_number 181
_space_group_name_Hall 'P 64 2 (0 0 2)'
_cell_length_a 4.5281
_cell_length_b 4.5281
_cell_length_c 9.5846
_cell_angle_alpha 90.00
_cell_angle_beta 90.00
_cell_angle_gamma 120.00
loop_
_atom_site_label
_atom_site_fract_x
_atom_site_fract_y
_atom_site_fract_z
_atom_site_occupancy
Si1 0.0000 0.5000 0.0594 1
O1 0.1685 0.3369 0.5000 1
```



Record 2
Compound: CaCuSb
Source: the Alexandria database
Functional: PBE
Structure: relaxed

Output
Uncorrected formation energy ... -0.108 eV per atom
Magnetic moment ... 0.000 μB per atom
DOS(E_F) ... 2.82 states/eV/cell

```
data_CaCuSb
_space_group_name_H-M_alt 'P 4/n m m'
_space_group_IT_number 129
_cell_length_a 4.4070
_cell_length_b 4.4070
_cell_length_c 7.2150
_cell_angle_alpha 90.00
_cell_angle_beta 90.00
_cell_angle_gamma 90.00
loop_
_space_group_symop_operation_xyz
'x,y,z'
'-x,-y,-z'
'-y+1/2,x,z'
'y+1/2,-x,-z'
'-x+1/2,-y+1/2,z'
'x+1/2,y+1/2,-z'
'y,-x+1/2,z'
'-y,x+1/2,-z'
'x+1/2,-y,-z'
'-x+1/2,y,z'
'-y,-x,-z'
'y,x,z'
'-x,y+1/2,-z'
'x,-y+1/2,z'
'y+1/2,x+1/2,-z'
'-y+1/2,-x+1/2,z'
loop_
_atom_site_label
_atom_site_fract_x
_atom_site_fract_y
_atom_site_fract_z
_atom_site_occupancy
Ca1 0.2500 0.7500 0.0000 1
Cu1 0.2500 0.2500 0.3125 1
Sb1 0.2500 0.2500 0.6794 1
```



Record 3
Compound: LiLaMg3
Source: the Alexandria database
Functional: PBE
Structure: relaxed

Output
Magnetic moment ... 0.041 μB per atom
Calculated formation energy ... 458 kJ/mol of formula units
DOS(E_F) ... 7.19 states/eV/cell
Relative energy among the computed polymorphs ... 4.602 eV per formula unit

```
data_LiLaMg3
_space_group_name_H-M_alt 'P m -3 m'
_space_group_IT_number 221
_space_group_name_Hall '-P 4 2 3'
_cell_length_a 6.1719
_cell_length_b 6.1719
_cell_length_c 6.1719
_cell_angle_alpha 90.00
_cell_angle_beta 90.00
_cell_angle_gamma 90.00
loop_
_atom_site_label
_atom_site_fract_x
_atom_site_fract_y
_atom_site_fract_z
_atom_site_occupancy
Li1 0.0000 0.0000 0.0000 1
La1 0.5000 0.5000 0.5000 1
Mg1 0.0000 0.5000 0.5000 1
```



Record 4
Compound: HgAsP2
Source: the Alexandria database
Functional: PBE
Structure: relaxed

Output
Magnetic moment ... 0.000 μB per atom
Calculated formation energy ... 124 kJ/mol of formula units
DOS(E_F) ... 0.74 states/eV/cell
Relative energy among the computed polymorphs ... 0.569 eV per formula unit

```
data_HgAsP2
_space_group_name_H-M_alt 'P 1 m 1'
_space_group_IT_number 6
_cell_length_a 3.7326
_cell_length_b 4.4967
_cell_length_c 5.3325
_cell_angle_alpha 90.00
_cell_angle_beta 107.35
_cell_angle_gamma 90.00
loop_
_space_group_symop_operation_xyz
'x,y,z'
'x,-y,z'
loop_
_atom_site_label
_atom_site_fract_x
_atom_site_fract_y
_atom_site_fract_z
_atom_site_occupancy
Hg1 0.0000 0.0000 0.0000 1
As1 0.2974 0.5000 0.6693 1
P1 0.5090 0.0000 0.4875 1
P2 0.6809 0.5000 0.3687 1
```



Record 5
Compound: Zr11Zn4Hg9
Source: the Alexandria database
Functional: PBE
Structure: relaxed

Output
Magnetic moment ... 0.000 μB per atom
Calculated formation energy ... -385 kJ/mol of formula units
DOS(E_F) ... 42.59 states/eV/cell

```
data_Zr11Zn4Hg9
_space_group_name_H-M_alt 'C m m m'
_space_group_IT_number 65
_space_group_name_Hall '-C 2 2'
_cell_length_a 14.0100
_cell_length_b 21.1706
_cell_length_c 3.3373
_cell_angle_alpha 90.00
_cell_angle_beta 90.00
_cell_angle_gamma 90.00
loop_
_atom_site_label
_atom_site_fract_x
_atom_site_fract_y
_atom_site_fract_z
_atom_site_occupancy
Zr1 0.0000 0.0000 0.0000 1
Zr2 0.0000 0.1613 0.0000 1
Zr3 0.0000 0.3688 0.0000 1
Zr4 0.2005 0.5000 0.0000 1
Zr5 0.2320 0.1754 0.0000 1
Zn1 0.1522 0.3994 0.5000 1
Hg1 0.0000 0.5000 0.5000 1
Hg2 0.1063 0.2648 0.5000 1
Hg3 0.1422 0.0725 0.5000 1
```



Record 6
Compound: Ca3W
Source: the Alexandria database
Functional: PBE
Structure: relaxed

Output
Magnetic moment ... 0.000 μB per atom
Calculated formation energy ... 311 kJ/mol of formula units
DOS(E_F) ... 10.10 states/eV/cell
Relative energy among the computed polymorphs ... 1.659 eV per formula unit

```
data_Ca3W
_space_group_name_H-M_alt 'R -3 m'
_space_group_IT_number 166
_space_group_name_Hall '-R 3 2"'
_cell_length_a 3.3745
_cell_length_b 3.3745
_cell_length_c 34.7782
_cell_angle_alpha 90.00
_cell_angle_beta 90.00
_cell_angle_gamma 120.00
loop_
_atom_site_label
_atom_site_fract_x
_atom_site_fract_y
_atom_site_fract_z
_atom_site_occupancy
Ca1 0.0000 0.0000 0.0000 1
Ca2 0.0000 0.0000 0.2366 1
W1 0.0000 0.0000 0.5000 1
```



Record 7
Compound: La2MgPa
Source: the Alexandria database
Functional: PBE
Structure: relaxed

Output
Magnetic moment ... 0.000 μB per atom
Calculated formation energy ... 103 kJ/mol of formula units
DOS(E_F) ... 14.36 states/eV/cell
Relative energy among the computed polymorphs ... 0.802 eV per formula unit

```
data_La2MgPa
_space_group_name_H-M_alt 'R -3 m'
_space_group_IT_number 166
_space_group_name_Hall '-R 3 2"'
_cell_length_a 3.2634
_cell_length_b 3.2634
_cell_length_c 37.5248
_cell_angle_alpha 90.00
_cell_angle_beta 90.00
_cell_angle_gamma 120.00
loop_
_atom_site_label
_atom_site_fract_x
_atom_site_fract_y
_atom_site_fract_z
_atom_site_occupancy
La1 0.0000 0.0000 0.0847 1
Mg1 0.0000 0.0000 0.5000 1
Pa1 0.0000 0.0000 0.0000 1
```



Record 8
Compound: CsBr3Cl12
Source: the Alexandria database
Functional: PBE
Structure: relaxed

Output
Uncorrected formation energy ... -0.102 eV per atom
Magnetic moment ... 0.139 μB per atom
DOS(E_F) ... 128.13 states/eV/cell

```
data_CsBr3Cl12
_space_group_name_H-M_alt 'R 3 c'
_space_group_IT_number 161
_space_group_name_Hall 'R 3 -2"c'
_cell_length_a 11.5413
_cell_length_b 11.5413
_cell_length_c 41.7670
_cell_angle_alpha 90.00
_cell_angle_beta 90.00
_cell_angle_gamma 120.00
loop_
_atom_site_label
_atom_site_fract_x
_atom_site_fract_y
_atom_site_fract_z
_atom_site_occupancy
Cs1 0.0000 0.0000 0.0000 1
Br1 0.0624 0.3658 0.0713 1
Cl1 0.0339 0.4811 0.5685 1
Cl2 0.0518 0.3462 0.0148 1
Cl3 0.0681 0.3775 0.1282 1
Cl4 0.0738 0.1901 0.5748 1
```



Record 9
Compound: CuGe3S
Source: the Alexandria database
Functional: PBE
Structure: relaxed

Output
Uncorrected formation energy ... 0.796 eV per atom
Magnetic moment ... 0.000 μB per atom
DOS(E_F) ... 3.14 states/eV/cell
Relative energy among the computed polymorphs ... 1.595 eV per formula unit

```
data_CuGe3S
_space_group_name_H-M_alt 'P m -3 m'
_space_group_IT_number 221
_space_group_name_Hall '-P 4 2 3'
_cell_length_a 4.9051
_cell_length_b 4.9051
_cell_length_c 4.9051
_cell_angle_alpha 90.00
_cell_angle_beta 90.00
_cell_angle_gamma 90.00
loop_
_atom_site_label
_atom_site_fract_x
_atom_site_fract_y
_atom_site_fract_z
_atom_site_occupancy
Cu1 0.0000 0.0000 0.0000 1
Ge1 0.0000 0.5000 0.5000 1
S1 0.5000 0.5000 0.5000 1
```



Record 10
Compound: CeCo2SiGe2
Source: the Alexandria database
Functional: PBE
Structure: relaxed

Output
Uncorrected formation energy ... -0.295 eV per atom
Magnetic moment ... 0.130 μB per atom
DOS(E_F) ... 7.27 states/eV/cell

```
data_CeCo2SiGe2
_space_group_name_H-M_alt 'P 4/m m m'
_space_group_IT_number 123
_space_group_name_Hall '-P 4 2'
_cell_length_a 4.2562
_cell_length_b 4.2562
_cell_length_c 5.5413
_cell_angle_alpha 90.00
_cell_angle_beta 90.00
_cell_angle_gamma 90.00
loop_
_atom_site_label
_atom_site_fract_x
_atom_site_fract_y
_atom_site_fract_z
_atom_site_occupancy
Ce1 0.0000 0.0000 0.0000 1
Co1 0.0000 0.5000 0.5000 1
Si1 0.0000 0.0000 0.5000 1
Ge1 0.5000 0.5000 0.2413 1
```



What did the second record say?
Compound: CaCuSb
Source: the Alexandria database
Functional: PBE
Structure: relaxed

Output
Uncorrected formation energy ... -0.108 eV per atom
Magnetic moment ... 0.000 μB per atom
DOS(E_F) ... 2.82 states/eV/cell

```
data_CaCuSb
_space_group_name_H-M_alt 'P 4/n m m'
_space_group_IT_number 129
_cell_length_a 4.4070
_cell_length_b 4.4070
_cell_length_c 7.2150
_cell_angle_alpha 90.00
_cell_angle_beta 90.00
_cell_angle_gamma 90.00
loop_
_space_group_symop_operation_xyz
'x,y,z'
'-x,-y,-z'
'-y+1/2,x,z'
'y+1/2,-x,-z'
'-x+1/2,-y+1/2,z'
'x+1/2,y+1/2,-z'
'y,-x+1/2,z'
'-y,x+1/2,-z'
'x+1/2,-y,-z'
'-x+1/2,y,z'
'-y,-x,-z'
'y,x,z'
'-x,y+1/2,-z'
'x,-y+1/2,z'
'y+1/2,x+1/2,-z'
'-y+1/2,-x+1/2,z'
loop_
_atom_site_label
_atom_site_fract_x
_atom_site_fract_y
_atom_site_fract_z
_atom_site_occupancy
Ca1 0.2500 0.7500 0.0000 1
Cu1 0.2500 0.2500 0.3125 1
Sb1 0.2500 0.2500 0.6794 1
```